Density functional theory data (GGA-PBE) for an optimized crystal structure of Pr2CuAs4Rh3.

The space group is P-4m2 (No. 115) and the conventional cell measures 4.345, 4.345 and 9.937 Å, with angles of 90.00, 90.00 and 90.00 degrees. The distinct sites, in fractional coordinates, are Pr at (0.000, 0.500, 0.249), Cu at (0.000, 0.000, 0.500), As at (0.000, 0.000, 0.000), As at (0.000, 0.500, 0.633), As at (0.500, 0.500, 0.000), Rh at (0.000, 0.500, 0.881) and Rh at (0.500, 0.500, 0.500).

The electronic total energy comes out at -6.2778 eV per atom. The crystal system is tetragonal. The energy relative to the elements is -8.5 eV/f.u.